Entry 1:
## Dy3MgAg3 (PBE)

Data for Dy3MgAg3 after structural relaxation.

a = 9.5352 Å, b = 10.5156 Å, c = 7.0269 Å
α = 90.00°, β = 93.24°, γ = 90.00°
Closest atoms and distances in Å follow each position.
Space group C2/m (No. 12)
Asymmetric unit:
Dy 0.0000 0.1719 0.0000  6 Ag 2.87-3.05
Dy 0.0000 0.2630 0.5000  6 Ag 3.07-3.13, 2 Mg 3.40
Dy 0.1424 0.5000 0.8672  3 Ag 3.04-3.06, 1 Dy 3.38
Mg 0.2157 0.5000 0.3632  3 Ag 2.70-2.79
Ag 0.0833 0.0000 0.3323  1 Mg 2.79, 1 Ag 2.92, 3 Dy 3.02-3.04
Ag 0.2422 0.2636 0.2203  1 Mg 2.70, 1 Dy 2.87

Density (g cm⁻³): 7.89
E (Ha/atom): -0.1307
ΔE_f (meV per atom): -133
V (Å³/f.u.): 175.86


Entry 2:
## ReHI2O (PBE)

Data for ReHI2O after structural relaxation.

a = 5.2608 Å, b = 5.2608 Å, c = 2.9360 Å
α = 90.00°, β = 90.00°, γ = 90.00°
Closest atoms and distances in Å follow each position.
Space group P4/mmm (No. 123)
Asymmetric unit:
Re 0.0000 0.0000 0.0000  2 Re 2.94, 8 I 3.01
H 0.5000 0.5000 0.5000  2 O 1.47
I 0.0000 0.5000 0.5000  2 H 2.63, 2 I 2.94
O 0.5000 0.5000 0.0000  2 H 1.47

Density (g cm⁻³): 9.34
E (Ha/atom): -0.1337
V (Å³/f.u.): 81.26
ΔE to the lowest computed polymorph (meV per atom): 882.6


Entry 3:
## Nd6Tm3Mg (PBE)

Data for Nd6Tm3Mg after structural relaxation.

a = 10.4368 Å, b = 11.9446 Å, c = 5.3434 Å
α = 90.00°, β = 90.00°, γ = 90.00°
Closest atoms and distances in Å follow each position.
Space group Pnnm (No. 58)
Asymmetric unit:
Nd 0.0658 0.2505 0.0000  4 Tm 3.06-3.34, 1 Mg 3.07
Nd 0.1731 0.0814 0.5000  2 Mg 3.37, 5 Nd 3.53-3.74, 1 Tm 3.55
Nd 0.2093 0.3880 0.5000  1 Mg 3.32, 3 Nd 3.48-3.68, 3 Tm 3.66-3.70
Tm 0.0000 0.5000 0.0000  2 Nd 3.06
Tm 0.1211 0.7135 0.5000  4 Nd 3.30-3.66
Mg 0.0000 0.0000 0.0000  8 Nd 3.07-3.37

Density (g cm⁻³): 6.96
E (Ha/atom): -0.1556
ΔE_f (meV per atom): 128
V (Å³/f.u.): 333.07


Q: What is the formula in the second record?
A: ReHI2O